Compound: EuDyAlHg
Source: Alexandria via LeMat-Bulk
Functional: PBE
Structure: relaxed

Cell: 5.320 5.320 5.320 Å, 60.00 60.00 60.00°
Fractional positions:
1 Eu 0.000 0.000 0.000
2 Dy 0.500 0.500 0.500
3 Al 0.750 0.750 0.750
4 Hg 0.250 0.250 0.250

Values from the calculation:
SG: F-43m
Crystal system: cubic
Formation enthalpy at 0 K: -0.360 eV/atom
Calculated density: 8.45 g cm⁻³